A relaxed structure of Pr2AlPt. Source: Alexandria via LeMat-Bulk, functional PBE.

Results
- Density of states at the Fermi level: 2.4 states/eV per cell
- V: 25.39 Å³/atom
- Excess energy over the best structure of this formula in the dataset: 0.00 kcal/mol of atoms
- M_tot: 0.00 μB per cell

Cell and atoms, written as CIF:
```
data_Pr2AlPt
_chemical_formula_sum 'Pr2 Al1 Pt1'
_symmetry_space_group_name_H-M 'P 4/m m m'
_symmetry_Int_Tables_number 123
_symmetry_space_group_name_Hall '-P 4 2'
_cell_length_a 3.684
_cell_length_b 3.684
_cell_length_c 7.485
_cell_angle_alpha 90.00
_cell_angle_beta 90.00
_cell_angle_gamma 90.00
loop_
_atom_site_label
_atom_site_type_symbol
_atom_site_fract_x
_atom_site_fract_y
_atom_site_fract_z
Pr1 Pr 0.000 0.000 0.233
Al1 Al 0.500 0.500 0.500
Pt1 Pt 0.500 0.500 0.000
```